(1)
A relaxed Pr3Tm5Pb2 crystal. Source: the Alexandria database, functional PBE.

Lattice parameters (Å, degrees): 6.4308 10.6704 10.6704 95.19 72.46 72.46
Last column: nearest neighbours and their distance in Å.
Fractional positions:
Pr 0.2500 0.0000 0.0000  2 Pr 3.22, 2 Tm 3.28, 4 Pb 3.40
Pr 0.7500 0.0000 0.0000  2 Pr 3.22, 2 Tm 3.28, 4 Pb 3.40
Pr 0.3754 0.3537 0.8955  4 Tm 3.42-3.66, 4 Pb 3.46-3.67
Pr 0.6246 0.6463 0.1045  4 Tm 3.42-3.66, 4 Pb 3.46-3.67
Pr 0.8754 0.8955 0.3537  4 Tm 3.42-3.66, 4 Pb 3.46-3.67
Pr 0.1246 0.1045 0.6463  4 Tm 3.42-3.66, 4 Pb 3.46-3.67
Tm 0.2500 0.5000 0.5000  8 Tm 3.16-3.30
Tm 0.7500 0.5000 0.5000  8 Tm 3.16-3.30
Tm 0.5048 0.7452 0.7452  5 Tm 3.16-3.51, 2 Pb 3.19, 1 Pr 3.28
Tm 0.9952 0.2548 0.2548  5 Tm 3.16-3.51, 2 Pb 3.19, 1 Pr 3.28
Tm 0.4952 0.2548 0.2548  5 Tm 3.16-3.51, 2 Pb 3.19, 1 Pr 3.28
Tm 0.0048 0.7452 0.7452  5 Tm 3.16-3.51, 2 Pb 3.19, 1 Pr 3.28
Tm 0.1050 0.5563 0.2338  1 Pb 3.02, 2 Tm 3.30
Tm 0.8950 0.4437 0.7662  1 Pb 3.02, 2 Tm 3.30
Tm 0.6050 0.2338 0.5563  1 Pb 3.02, 2 Tm 3.30
Tm 0.3950 0.7662 0.4437  1 Pb 3.02, 2 Tm 3.30
Pb 0.1433 0.7071 0.0062  3 Tm 3.02-3.19
Pb 0.8567 0.2928 0.9938  3 Tm 3.02-3.19
Pb 0.6433 0.0062 0.7071  3 Tm 3.02-3.19
Pb 0.3567 0.9938 0.2928  3 Tm 3.02-3.19

Output
**E**: -0.16283 hartree per atom
**V**: 652 Å³ per cell
**Space group**: Ibam, No. 72
**Formation energy from the elements**: -19 meV/atom

(2)
A relaxed CeMg2Cu crystal. Source: the Alexandria database, functional PBE.

Lattice parameters (Å, degrees): 4.9561 4.9561 4.9561 60.00 60.00 60.00
Last column: nearest neighbours and their distance in Å.
Fractional positions:
Ce 0.0000 0.0000 0.0000  8 Mg 3.03
Mg 0.2500 0.2500 0.2500  4 Cu 3.03, 4 Ce 3.03
Mg 0.7500 0.7500 0.7500  4 Ce 3.03, 4 Cu 3.03
Cu 0.5000 0.5000 0.5000  8 Mg 3.03

Output
**E**: -0.11642 hartree per atom
**V**: 86 Å³ per cell
**Space group**: Fm-3m, No. 225
**Formation energy from the elements**: 137 meV/atom

(3)
A relaxed Na3Hf3MnSe8 crystal. Source: the Alexandria database, functional PBE.

Lattice parameters (Å, degrees): 7.6795 7.6806 8.3919 117.24 90.00 120.00
Last column: nearest neighbours and their distance in Å.
Fractional positions:
Na 0.0000 0.0000 0.0000  6 Se 2.97-3.01
Na 0.0000 0.5000 0.0000  6 Se 2.97-3.02
Na 0.5000 0.5000 0.0000  6 Se 2.97-3.02
Hf 0.5000 0.0000 0.5000  6 Se 2.69-2.72
Hf 0.5000 0.5000 0.5000  6 Se 2.68-2.72
Hf 0.0000 0.5000 0.5000  6 Se 2.68-2.72
Mn 0.0000 0.0000 0.5000  6 Se 2.72
Se 0.2593 0.5186 0.2782  3 Hf 2.72, 3 Na 2.97
Se 0.7407 0.4814 0.7218  3 Hf 2.72, 3 Na 2.97
Se 0.7591 0.5181 0.2845  2 Hf 2.68, 1 Mn 2.72
Se 0.2409 0.4819 0.7155  2 Hf 2.68, 1 Mn 2.72
Se 0.7595 0.0251 0.2843  2 Hf 2.69, 1 Mn 2.72
Se 0.2405 0.9749 0.7157  2 Hf 2.69, 1 Mn 2.72
Se 0.2656 0.0251 0.2843  2 Hf 2.69, 1 Mn 2.72
Se 0.7344 0.9749 0.7157  2 Hf 2.69, 1 Mn 2.72

Output
**E**: -0.21674 hartree per atom
**V**: 364 Å³ per cell
**Uncorrected formation energy**: -1174 meV per atom
**Space group**: R-3m, No. 166

(4)
A relaxed SrPb3Br8 crystal. Source: the Alexandria database, functional PBE.

Lattice parameters (Å, degrees): 9.0726 9.0671 8.5121 122.39 90.00 120.02
Last column: nearest neighbours and their distance in Å.
Fractional positions:
Sr 0.0000 0.0000 0.0000  6 Br 3.08
Pb 0.5000 0.0000 0.0000  6 Br 3.07-3.09
Pb 0.5000 0.5000 0.0000  6 Br 3.07-3.09
Pb 0.0000 0.5000 0.0000  6 Br 3.07-3.09
Br 0.2511 0.5023 0.7550  3 Pb 3.09
Br 0.7489 0.4977 0.2450  3 Pb 3.09
Br 0.2528 0.0048 0.7585  2 Pb 3.07, 1 Sr 3.08
Br 0.7521 0.0048 0.7585  2 Pb 3.07, 1 Sr 3.08
Br 0.7521 0.5041 0.7585  2 Pb 3.07, 1 Sr 3.08
Br 0.2479 0.4959 0.2415  2 Pb 3.07, 1 Sr 3.08
Br 0.2479 0.9952 0.2415  2 Pb 3.07, 1 Sr 3.08
Br 0.7472 0.9952 0.2415  2 Pb 3.07, 1 Sr 3.08

Output
**E**: -0.12489 hartree per atom
**V**: 476 Å³ per cell
**Uncorrected formation energy**: -1216 meV per atom
**Space group**: C2/m, No. 12

(5)
A relaxed SrPmTm crystal. Source: the Alexandria database, functional PBE.

Lattice parameters (Å, degrees): 3.7496 3.7496 8.4656 102.79 102.79 90.00
Last column: nearest neighbours and their distance in Å.
Fractional positions:
Sr 0.0016 0.0016 0.0032  4 Sr 3.75, 4 Tm 3.90, 4 Pm 3.96
Tm 0.6796 0.6796 0.3592  4 Pm 3.47, 4 Tm 3.75
Pm 0.3188 0.3188 0.6376  4 Tm 3.47, 4 Pm 3.75

Output
**E**: -0.12894 hartree per atom
**V**: 113 Å³ per cell
**Relative energy among the computed polymorphs**: 0.00 eV per formula unit
**Space group**: I4mm, No. 107
**Formation energy from the elements**: 126 meV/atom

(6)
A relaxed Nd2DyPd2 crystal. Source: the Alexandria database, functional PBE.

Lattice parameters (Å, degrees): 4.0597 7.9494 7.9494 90.00 90.00 90.00
Last column: nearest neighbours and their distance in Å.
Fractional positions:
Nd 0.5000 0.1685 0.6685  6 Pd 3.04-3.14
Nd 0.5000 0.6685 0.8315  6 Pd 3.04-3.14
Nd 0.5000 0.8315 0.3315  6 Pd 3.04-3.14
Nd 0.5000 0.3315 0.1685  6 Pd 3.04-3.14
Dy 0.0000 0.0000 0.0000  4 Pd 3.12
Dy 0.0000 0.5000 0.5000  4 Pd 3.12
Pd 0.0000 0.3702 0.8702  1 Pd 2.92, 6 Nd 3.04-3.14, 2 Dy 3.12
Pd 0.0000 0.8702 0.6298  1 Pd 2.92, 6 Nd 3.04-3.14, 2 Dy 3.12
Pd 0.0000 0.6298 0.1298  1 Pd 2.92, 6 Nd 3.04-3.14, 2 Dy 3.12
Pd 0.0000 0.1298 0.3702  1 Pd 2.92, 6 Nd 3.04-3.14, 2 Dy 3.12

Output
**E**: -0.20450 hartree per atom
**V**: 257 Å³ per cell
**Relative energy among the computed polymorphs**: 0.04 eV per formula unit
**Space group**: P4/mbm, No. 127
**Formation energy from the elements**: -660 meV/atom

(7)
A relaxed ZnI2F crystal. Source: the Alexandria database, functional PBE.

Lattice parameters (Å, degrees): 5.0007 5.0007 5.0007 60.00 60.00 60.00
Last column: nearest neighbours and their distance in Å.
Fractional positions:
I 0.2500 0.2500 0.2500  4 F 3.06, 4 Zn 3.06
I 0.7500 0.7500 0.7500  4 F 3.06, 4 Zn 3.06
Zn 0.5000 0.5000 0.5000  8 I 3.06
F 0.0000 0.0000 0.0000  8 I 3.06

Output
**E**: -0.06479 hartree per atom
**V**: 88 Å³ per cell
**Relative energy among the computed polymorphs**: 1.00 eV per formula unit
**Uncorrected formation energy**: -202 meV per atom
**Space group**: Fm-3m, No. 225

(8)
A relaxed HoCuGe crystal. Source: the Alexandria database, functional PBE.

Lattice parameters (Å, degrees): 3.8828 3.8828 4.9072 113.30 113.30 90.00
Last column: nearest neighbours and their distance in Å.
Fractional positions:
Ge 0.2701 0.2701 0.5402  1 Cu 2.50
Ho 0.6176 0.6176 0.2352  5 Cu 2.80-3.02, 5 Ge 2.83-3.01
Cu 0.9623 0.9623 0.9246  1 Ge 2.50, 1 Ho 2.80

Output
**E**: -0.16910 hartree per atom
**V**: 61 Å³ per cell
**Space group**: I4mm, No. 107
**Formation energy from the elements**: -171 meV/atom